No. 1
# ReSb3

Crystalline ReSb3 at its relaxed geometry (PBE-GGA, Alexandria via LeMat-Bulk).

## Properties
- formation energy from raw total energies (eV per formula unit) = 2.718
- excess energy over the best structure of this formula in the dataset (meV/atom) = 374
- SG = No. 25

Cell lengths 3.4748, 4.5554, 6.5661 Å; angles 90.00, 90.00, 90.00 degrees
Closest atoms and distances in Å follow each position.
Fractional coordinates of all 4 atoms:
Re: 0.0000 0.0000 0.0000  4 Sb 2.71-2.81
Sb: 0.0000 0.5000 0.2236  2 Re 2.71, 4 Sb 2.96
Sb: 0.5000 0.0000 0.3360  2 Re 2.81, 4 Sb 2.96
Sb: 0.5000 0.5000 0.8056  4 Re 3.14, 4 Sb 3.25-3.47

No. 2
# HfTeF2

Crystalline HfTeF2 at its relaxed geometry (PBE-GGA, Alexandria via LeMat-Bulk).

## Properties
- formation energy from raw total energies (eV per formula unit) = -5.340
- excess energy over the best structure of this formula in the dataset (meV/atom) = 737
- SG = No. 225

Cell lengths 4.4674, 4.4674, 4.4674 Å; angles 60.00, 60.00, 60.00 degrees
Closest atoms and distances in Å follow each position.
Fractional coordinates of all 4 atoms:
Hf: 0.0000 0.0000 0.0000  8 F 2.74
Te: 0.5000 0.5000 0.5000  8 F 2.74
F: 0.2500 0.2500 0.2500  4 Hf 2.74, 4 Te 2.74
F: 0.7500 0.7500 0.7500  4 Te 2.74, 4 Hf 2.74

No. 3
# CrPbSe

Crystalline CrPbSe at its relaxed geometry (PBE-GGA, Alexandria via LeMat-Bulk).

## Properties
- formation energy from raw total energies (eV per formula unit) = -0.018
- excess energy over the best structure of this formula in the dataset (meV/atom) = 36
- SG = No. 156

Cell lengths 3.4951, 3.4951, 6.8170 Å; angles 90.00, 90.00, 120.00 degrees
Closest atoms and distances in Å follow each position.
Fractional coordinates of all 3 atoms:
Cr: 0.0000 0.0000 0.0000  3 Se 2.41
Pb: 0.3333 0.6667 0.3487  3 Cr 3.12
Se: 0.6667 0.3333 0.8071  3 Cr 2.41

No. 4
# YAsOs2

Crystalline YAsOs2 at its relaxed geometry (PBE-GGA, Alexandria via LeMat-Bulk).

## Properties
- SG = No. 123
- calculated formation energy (eV/atom) = 0.2127

Cell lengths 4.1778, 4.1778, 3.9098 Å; angles 90.00, 90.00, 90.00 degrees
Closest atoms and distances in Å follow each position.
Fractional coordinates of all 4 atoms:
Y: 0.0000 0.0000 0.0000  8 Os 2.86, 4 As 2.95
As: 0.5000 0.5000 0.0000  8 Os 2.86, 4 Y 2.95
Os: 0.0000 0.5000 0.5000  4 As 2.86, 4 Y 2.86, 4 Os 2.95
Os: 0.5000 0.0000 0.5000  4 As 2.86, 4 Y 2.86, 4 Os 2.95

No. 5
# MnAsBr2

Crystalline MnAsBr2 at its relaxed geometry (PBE-GGA, Alexandria via LeMat-Bulk).

## Properties
- formation energy from raw total energies (eV per formula unit) = -0.219
- excess energy over the best structure of this formula in the dataset (meV/atom) = 174
- SG = No. 71

Cell lengths 8.2427, 8.2427, 8.2427 Å; angles 154.91, 152.93, 37.24 degrees
Closest atoms and distances in Å follow each position.
Fractional coordinates of all 4 atoms:
Mn: 0.0000 0.0000 0.0000  4 As 2.63, 4 Br 2.87
As: 0.5000 0.5000 0.0000  4 Mn 2.63
Br: 0.1438 0.6438 0.5000  2 Mn 2.87, 2 As 2.96
Br: 0.8562 0.3562 0.5000  2 Mn 2.87, 2 As 2.96

No. 6
# SrZrSb

Crystalline SrZrSb at its relaxed geometry (PBE-GGA, Alexandria via LeMat-Bulk).

## Properties
- formation energy from raw total energies (eV per formula unit) = -0.537
- excess energy over the best structure of this formula in the dataset (meV/atom) = 551
- SG = No. 156

Cell lengths 4.1620, 4.1620, 6.7995 Å; angles 90.00, 90.00, 120.00 degrees
Closest atoms and distances in Å follow each position.
Fractional coordinates of all 3 atoms:
Sr: 0.0000 0.0000 0.0000  3 Sb 3.34
Zr: 0.6667 0.3333 0.4382  3 Sb 2.84
Sb: 0.3333 0.6667 0.6597  3 Zr 2.84

No. 7
# CoAgPb2

Crystalline CoAgPb2 at its relaxed geometry (PBE-GGA, Alexandria via LeMat-Bulk).

## Properties
- excess energy over the best structure of this formula in the dataset (meV/atom) = 167
- SG = No. 119
- calculated formation energy (eV/atom) = 0.4916

Cell lengths 5.7663, 5.7663, 5.7663 Å; angles 137.46, 137.46, 61.74 degrees
Closest atoms and distances in Å follow each position.
Fractional coordinates of all 4 atoms:
Co: 0.0000 0.0000 0.0000  8 Pb 2.96-3.24, 4 Ag 3.24
Ag: 0.7500 0.2500 0.5000  8 Pb 2.96-3.24, 4 Co 3.24
Pb: 0.2500 0.7500 0.5000  4 Ag 2.96, 4 Pb 3.24, 4 Co 3.24
Pb: 0.5000 0.5000 0.0000  4 Co 2.96, 4 Pb 3.24, 4 Ag 3.24

No. 8
# TlCrPb2

Crystalline TlCrPb2 at its relaxed geometry (PBE-GGA, Alexandria via LeMat-Bulk).

## Properties
- excess energy over the best structure of this formula in the dataset (meV/atom) = 0
- SG = No. 123
- calculated formation energy (eV/atom) = 0.2912

Cell lengths 3.4894, 3.4894, 8.8389 Å; angles 90.00, 90.00, 90.00 degrees
Closest atoms and distances in Å follow each position.
Fractional coordinates of all 4 atoms:
Tl: 0.0000 0.0000 0.0000  4 Tl 3.49, 8 Pb 3.61
Cr: 0.0000 0.0000 0.5000  8 Pb 3.05
Pb: 0.5000 0.5000 0.2977  4 Cr 3.05
Pb: 0.5000 0.5000 0.7023  4 Cr 3.05